! KLiPH2O4F PBEsol relaxed; values from VASP
&SYSTEM
  ibrav = 0, nat = 40, ntyp = 6
/
ATOMIC_SPECIES
K 39.10 K.upf
Li 6.94 Li.upf
P 30.97 P.upf
H 1.01 H.upf
O 16.00 O.upf
F 19.00 F.upf
CELL_PARAMETERS angstrom
5.405 0.000 0.000
0.000 7.367 0.000
-3.938 0.000 11.705
ATOMIC_POSITIONS crystal
K 0.165 0.224 0.342
K 0.165 0.276 0.842
K 0.835 0.724 0.158
K 0.835 0.776 0.658
Li 0.321 0.041 0.639
Li 0.321 0.459 0.139
Li 0.679 0.541 0.861
Li 0.679 0.959 0.361
P 0.242 0.728 0.949
P 0.242 0.772 0.449
P 0.758 0.228 0.551
P 0.758 0.272 0.051
H 0.363 0.600 0.656
H 0.363 0.900 0.156
H 0.460 0.105 0.155
H 0.460 0.395 0.655
H 0.540 0.605 0.345
H 0.540 0.895 0.845
H 0.637 0.100 0.844
H 0.637 0.400 0.344
O 0.022 0.621 0.868
O 0.022 0.879 0.368
O 0.272 0.706 0.076
O 0.272 0.794 0.576
O 0.449 0.003 0.207
O 0.449 0.497 0.707
O 0.498 0.217 0.574
O 0.498 0.283 0.074
O 0.502 0.717 0.926
O 0.502 0.783 0.426
O 0.551 0.503 0.293
O 0.551 0.997 0.793
O 0.728 0.206 0.424
O 0.728 0.294 0.924
O 0.978 0.121 0.632
O 0.978 0.379 0.132
F 0.157 0.563 0.423
F 0.157 0.937 0.923
F 0.843 0.063 0.077
F 0.843 0.437 0.577
! total DFT energy (no corrections): -0.4329 Ry/atom
! magnetic moment: 0.000 μB/f.u.
! volume: 11.65 A^3/atom
! space-group type: No. 14
! DOS at the Fermi energy: 0.000 states/eV/cell
! ρ: 2.31 Mg/m³